Below is a relaxed LuTlAgAu crystal, with properties calculated at the PBE level.

The space group is F-43m (216). The calculation puts the density of states at the Fermi level at 1.7 states/eV/cell. Its uncorrected energy is -0.265 Ry/atom.

Unit cell a=4.9375 b=4.9375 c=4.9375 alpha=60.00 beta=60.00 gamma=60.00
With the nearest neighbours (Å) after each atom.
Fractional coordinates of all 4 atoms:
Tl1 0.5000 0.5000 0.5000  4 Ag 3.02, 4 Au 3.02
Lu1 0.0000 0.0000 0.0000  4 Ag 3.02, 4 Au 3.02
Au1 0.7500 0.7500 0.7500  4 Lu 3.02, 4 Tl 3.02
Ag1 0.2500 0.2500 0.2500  4 Tl 3.02, 4 Lu 3.02

Below is a relaxed HoThRe crystal, with properties calculated at the PBE level.

As for the relative energy among the computed polymorphs: 48 meV per atom. The space group is I4mm (107). The calculation puts the density of states at the Fermi level at 2.0 states/eV/cell. Its uncorrected energy is -0.595 Ry/atom.

Unit cell a=3.4734 b=3.4734 c=7.0577 alpha=104.25 beta=104.25 gamma=90.00
With the nearest neighbours (Å) after each atom.
Fractional coordinates of all 3 atoms:
Th1 0.2944 0.2944 0.5887  4 Re 2.97
Ho1 0.0373 0.0373 0.0746  4 Re 3.01
Re1 0.6683 0.6683 0.3367  4 Th 2.97, 4 Ho 3.01

Below is a relaxed MnCoAg2 crystal, with properties calculated at the PBE level.

As for the relative energy among the computed polymorphs: 97 meV per atom. The space group is Cm (8). The calculation puts the density of states at the Fermi level at 3.2 states/eV/cell. Its uncorrected energy is -0.379 Ry/atom.

Unit cell a=4.8400 b=4.8400 c=4.8342 alpha=75.90 beta=75.90 gamma=33.96
With the nearest neighbours (Å) after each atom.
Fractional coordinates of all 4 atoms:
Mn1 0.2313 0.2313 0.2655  2 Co 2.46, 2 Ag 2.75
Ag1 0.7604 0.7604 0.7360  3 Co 2.75-2.82, 4 Mn 2.75-2.88, 5 Ag 2.80-2.86
Ag2 0.9931 0.9931 0.0091  4 Co 2.77-2.84, 3 Mn 2.79-2.81, 5 Ag 2.80-2.86
Co1 0.5152 0.5152 0.4893  2 Mn 2.46, 2 Ag 2.75

Below is a relaxed NiHg2Sb crystal, with properties calculated at the PBE level.

The space group is Cmmm (65). The value obtained for the raw formation energy is 247.9 meV per atom. The calculation puts the density of states at the Fermi level at 1.8 states/eV/cell. Its uncorrected energy is -0.175 Ry/atom.

Unit cell a=4.3180 b=4.6484 c=4.6431 alpha=74.60 beta=90.00 gamma=90.00
With the nearest neighbours (Å) after each atom.
Fractional coordinates of all 4 atoms:
Sb1 0.5000 0.7500 0.7500  2 Ni 2.82, 4 Hg 3.05
Hg1 0.0000 0.0421 0.0421  2 Ni 2.65, 2 Hg 2.88
Hg2 0.0000 0.4579 0.4579  2 Ni 2.65, 2 Hg 2.88
Ni1 0.5000 0.2500 0.2500  4 Hg 2.65, 2 Sb 2.82

Below is a relaxed EuCu2Ag crystal, with properties calculated at the PBE level.

As for the relative energy among the computed polymorphs: 0 meV per atom. The space group is R-3m (166). The calculation puts the density of states at the Fermi level at 13.5 states/eV/cell. Its uncorrected energy is -0.398 Ry/atom.

Unit cell a=4.4461 b=4.4461 c=5.5317 alpha=66.30 beta=66.30 gamma=60.00
With the nearest neighbours (Å) after each atom.
Fractional coordinates of all 4 atoms:
Ag1 0.5000 0.5000 0.5000  6 Cu 2.61
Eu1 0.0000 0.0000 0.0000  8 Cu 2.94-3.23
Cu1 0.7999 0.7999 0.6003  3 Ag 2.61, 3 Cu 2.75
Cu2 0.2001 0.2001 0.3997  3 Ag 2.61, 3 Cu 2.75

Below is a relaxed BaScZn3 crystal, with properties calculated at the PBE level.

As for the relative energy among the computed polymorphs: 850 meV per atom. The space group is Pm-3m (221). The calculation puts the density of states at the Fermi level at 6.1 states/eV/cell. Its uncorrected energy is -0.102 Ry/atom.

Unit cell a=5.6573 b=5.6573 c=5.6573 alpha=90.00 beta=90.00 gamma=90.00
With the nearest neighbours (Å) after each atom.
Fractional coordinates of all 5 atoms:
Zn1 0.0000 0.5000 0.0000  2 Ba 2.83
Zn2 0.5000 0.0000 0.0000  2 Ba 2.83
Zn3 0.0000 0.0000 0.5000  2 Ba 2.83
Ba1 0.0000 0.0000 0.0000  6 Zn 2.83
Sc1 0.5000 0.5000 0.5000  12 Zn 4.00

Below is a relaxed LiAcAl2Pd4 crystal, with properties calculated at the PBE level.

The space group is R-3m (166). The calculation puts the density of states at the Fermi level at 4.2 states/eV/cell. Its uncorrected energy is -0.375 Ry/atom.

Unit cell a=4.3035 b=4.3035 c=9.3217 alpha=76.65 beta=76.65 gamma=60.00
With the nearest neighbours (Å) after each atom.
Fractional coordinates of all 8 atoms:
Pd1 0.5925 0.5925 0.2224  1 Li 2.49, 3 Al 2.61
Pd2 0.1328 0.1328 0.6016  4 Al 2.61-2.62, 3 Li 2.65
Pd3 0.8672 0.8672 0.3984  4 Al 2.61-2.62, 3 Li 2.65
Pd4 0.4075 0.4075 0.7776  1 Li 2.49, 3 Al 2.61
Al1 0.7702 0.7702 0.6895  7 Pd 2.61-2.62
Al2 0.2298 0.2298 0.3105  7 Pd 2.61-2.62
Li1 0.5000 0.5000 0.5000  8 Pd 2.49-2.65
Ac1 0.0000 0.0000 0.0000  6 Pd 3.19

Below is a relaxed BaHg2Se crystal, with properties calculated at the PBE level.

The space group is Cm (8). The value obtained for the raw formation energy is -816.1 meV per atom. Its uncorrected energy is -0.170 Ry/atom.

Unit cell a=5.1096 b=5.1096 c=6.5108 alpha=65.89 beta=65.89 gamma=61.22
With the nearest neighbours (Å) after each atom.
Fractional coordinates of all 4 atoms:
Ba1 0.7555 0.7555 0.7325  3 Se 3.28, 3 Hg 3.52-3.53
Hg1 0.9773 0.9773 0.0638  3 Hg 3.09-3.10
Hg2 0.2628 0.2628 0.2151  3 Hg 3.09-3.10, 3 Se 3.36
Se1 0.5044 0.5044 0.4886  3 Ba 3.28, 3 Hg 3.36

Below is a relaxed Nd2AgBi crystal, with properties calculated at the PBE level.

The space group is P4/mmm (123). The calculation puts the density of states at the Fermi level at 3.2 states/eV/cell. Its uncorrected energy is -0.337 Ry/atom.

Unit cell a=4.1782 b=5.2515 c=5.2515 alpha=90.00 beta=90.00 gamma=90.00
With the nearest neighbours (Å) after each atom.
Fractional coordinates of all 4 atoms:
Nd1 0.0000 0.0000 0.5000  4 Ag 3.36, 4 Bi 3.36, 4 Nd 3.71
Nd2 0.0000 0.5000 0.0000  4 Ag 3.36, 4 Bi 3.36, 4 Nd 3.71
Ag1 0.5000 0.5000 0.5000  8 Nd 3.36, 4 Bi 3.71
Bi1 0.5000 0.0000 0.0000  8 Nd 3.36, 4 Ag 3.71

Below is a relaxed YCrCu3 crystal, with properties calculated at the PBE level.

As for the relative energy among the computed polymorphs: 888 meV per atom. The space group is Pm-3m (221). The calculation puts the density of states at the Fermi level at 2.6 states/eV/cell. Its uncorrected energy is -0.313 Ry/atom.

Unit cell a=4.9966 b=4.9966 c=4.9966 alpha=90.00 beta=90.00 gamma=90.00
With the nearest neighbours (Å) after each atom.
Fractional coordinates of all 5 atoms:
Cr1 0.5000 0.5000 0.5000  12 Cu 3.53
Cu1 0.0000 0.5000 0.0000  2 Y 2.50
Cu2 0.0000 0.0000 0.5000  2 Y 2.50
Cu3 0.5000 0.0000 0.0000  2 Y 2.50
Y1 0.0000 0.0000 0.0000  6 Cu 2.50

Below is a relaxed BeIn4Pt crystal, with properties calculated at the PBE level.

The space group is F-43m (216). The calculation puts the density of states at the Fermi level at 3.3 states/eV/cell. Its uncorrected energy is -0.200 Ry/atom.

Unit cell a=5.8664 b=5.8664 c=5.8664 alpha=60.00 beta=60.00 gamma=60.00
With the nearest neighbours (Å) after each atom.
Fractional coordinates of all 6 atoms:
In1 0.8745 0.3752 0.3752  6 In 2.93-2.94
In2 0.3752 0.3752 0.8745  6 In 2.93-2.94
In3 0.3752 0.8745 0.3752  6 In 2.93-2.94
In4 0.3752 0.3752 0.3752  6 In 2.93-2.94
Pt1 0.7500 0.7500 0.7500  12 In 3.44, 4 Be 3.59
Be1 0.0000 0.0000 0.0000  12 In 3.44, 4 Pt 3.59

Below is a relaxed YRe2Te crystal, with properties calculated at the PBE level.

The space group is P2/m (10). The value obtained for the raw formation energy is 439.6 meV per atom. The calculation puts the density of states at the Fermi level at 3.6 states/eV/cell. Its uncorrected energy is -0.602 Ry/atom.

Unit cell a=4.9582 b=3.3643 c=4.9186 alpha=89.80 beta=90.00 gamma=90.00
With the nearest neighbours (Å) after each atom.
Fractional coordinates of all 4 atoms:
Re1 0.0000 0.1114 0.9836  1 Re 2.48
Re2 0.0000 0.3886 0.5164  1 Re 2.48
Y1 0.5000 0.7500 0.7500  4 Te 2.97-2.98, 4 Re 2.99
Te1 0.5000 0.2500 0.2500  4 Re 2.84, 4 Y 2.97-2.98